The following is a DFT calculation (PBE) of a relaxed Pr2GdAs crystal.

POSCAR file:
```
Pr2GdAs
1.0
2.023 1.168 9.572
-2.023 1.168 9.572
0.000 -2.336 9.572
Pr Gd As
2 1 1
direct
0.229 0.229 0.229
0.771 0.771 0.771
0.000 0.000 0.000
0.500 0.500 0.500
```

## Properties
DOS(E_F) in states/eV/f.u.: 6.5
ΔE_f in eV/atom: -0.578

The following is a DFT calculation (PBE) of a relaxed TbGe4Ru4 crystal.

POSCAR file:
```
TbGe4Ru4
1.0
6.084 0.000 0.000
0.000 6.084 0.000
0.000 0.000 8.252
Tb Ge Ru
2 8 8
direct
0.250 0.750 0.250
0.750 0.250 0.750
0.042 0.250 0.066
0.250 0.042 0.566
0.250 0.458 0.566
0.458 0.250 0.066
0.542 0.750 0.934
0.750 0.542 0.434
0.750 0.958 0.434
0.958 0.750 0.934
0.012 0.250 0.366
0.250 0.012 0.866
0.250 0.488 0.866
0.488 0.250 0.366
0.512 0.750 0.634
0.750 0.512 0.134
0.750 0.988 0.134
0.988 0.750 0.634
```

## Properties
DOS(E_F) in states/eV/f.u.: 6.8
ΔE_f in eV/atom: -0.323

The following is a DFT calculation (PBE) of a relaxed K4C3 crystal.

POSCAR file:
```
K4C3
1.0
6.739 0.000 0.000
0.000 6.739 0.000
0.000 0.000 6.739
K C
4 3
direct
0.238 0.238 0.238
0.238 0.762 0.762
0.762 0.238 0.762
0.762 0.762 0.238
0.000 0.000 0.500
0.000 0.500 0.000
0.500 0.000 0.000
```

## Properties
E above lowest polymorph in eV per atom: 0.086
DOS(E_F) in states/eV/f.u.: 0.5
ΔE_f in eV/atom: 2.000

The following is a DFT calculation (PBE) of a relaxed Tb3Y3Tl crystal.

POSCAR file:
```
Tb3Y3Tl
1.0
9.451 0.000 0.000
-4.725 8.185 0.000
0.000 0.000 5.559
Tb Y Tl
6 6 2
direct
0.064 0.242 0.250
0.178 0.936 0.250
0.242 0.178 0.750
0.758 0.822 0.250
0.822 0.064 0.750
0.936 0.758 0.750
0.107 0.481 0.750
0.374 0.893 0.750
0.481 0.374 0.250
0.519 0.626 0.750
0.626 0.107 0.250
0.893 0.519 0.250
0.333 0.667 0.250
0.667 0.333 0.750
```

## Properties
DOS(E_F) in states/eV/f.u.: 10.1
ΔE_f in eV/atom: -0.067

The following is a DFT calculation (PBE) of a relaxed Ta2CuN2 crystal.

POSCAR file:
```
Ta2CuN2
1.0
-1.851 1.851 4.776
1.851 -1.851 4.776
1.851 1.851 -4.776
Ta Cu N
2 1 2
direct
0.149 0.149 0.000
0.851 0.851 0.000
0.500 0.500 0.000
0.250 0.750 0.500
0.750 0.250 0.500
```

## Properties
E above lowest polymorph in eV per atom: 0.000
DOS(E_F) in states/eV/f.u.: 1.6
Formation energy without anion corrections in eV per atom: -0.480

The following is a DFT calculation (PBE) of a relaxed Ca2CeScP4 crystal.

POSCAR file:
```
Ca2CeScP4
1.0
6.907 0.000 0.000
0.000 4.059 0.000
-2.344 0.000 6.612
Ca Ce Sc P
2 1 1 4
direct
0.000 0.000 0.000
0.500 0.500 0.000
0.000 0.500 0.500
0.500 0.000 0.500
0.253 0.000 0.730
0.267 0.500 0.275
0.733 0.500 0.725
0.747 0.000 0.270
```

## Properties
DOS(E_F) in states/eV/f.u.: 7.7
ΔE_f in eV/atom: -1.200

The following is a DFT calculation (PBE) of a relaxed Dy4MgFe crystal.

POSCAR file:
```
Dy4MgFe
1.0
0.000 6.761 6.761
6.761 0.000 6.761
6.761 6.761 0.000
Dy Mg Fe
16 4 4
direct
0.028 0.657 0.657
0.060 0.060 0.440
0.060 0.440 0.060
0.060 0.440 0.440
0.187 0.187 0.813
0.187 0.813 0.187
0.187 0.813 0.813
0.440 0.060 0.060
0.440 0.060 0.440
0.440 0.440 0.060
0.657 0.028 0.657
0.657 0.657 0.028
0.657 0.657 0.657
0.813 0.187 0.187
0.813 0.187 0.813
0.813 0.813 0.187
0.421 0.421 0.421
0.421 0.421 0.737
0.421 0.737 0.421
0.737 0.421 0.421
0.413 0.862 0.862
0.862 0.413 0.862
0.862 0.862 0.413
0.862 0.862 0.862
```

## Properties
DOS(E_F) in states/eV/f.u.: 8.3
ΔE_f in eV/atom: -0.037

The following is a DFT calculation (PBE) of a relaxed Ag3PPd crystal.

POSCAR file:
```
Ag3PPd
1.0
5.003 0.000 0.000
0.000 5.003 0.000
0.000 0.000 5.003
Ag P Pd
3 1 1
direct
0.000 0.000 0.500
0.000 0.500 0.000
0.500 0.000 0.000
0.500 0.500 0.500
0.000 0.000 0.000
```

## Properties
E above lowest polymorph in eV per atom: 0.764
DOS(E_F) in states/eV/f.u.: 2.8
ΔE_f in eV/atom: 1.112

DOS(E_F) of number 7 (Dy4MgFe)? 8.3 states/eV/f.u.

Number 7 is which compound? Dy4MgFe